Record 1
# InHgPbCl2 | Alexandria via LeMat-Bulk | PBE | optimized geometry
data_InHgPbCl2
_cell_length_a 5.918
_cell_length_b 5.918
_cell_length_c 5.391
_cell_angle_alpha 90.00
_cell_angle_beta 90.00
_cell_angle_gamma 90.00
_space_group_name_H-M_alt 'P 1'
_space_group_IT_number 1
_space_group_name_Hall 'P 1'
loop_
_atom_site_label
_atom_site_type_symbol
_atom_site_fract_x
_atom_site_fract_y
_atom_site_fract_z
In1 In 0.000 0.000 0.000
Hg1 Hg 0.000 0.000 0.500
Pb1 Pb 0.500 0.500 0.500
Cl1 Cl 0.000 0.500 0.000
Cl2 Cl 0.500 0.000 0.000
# energy relative to the elements, uncorrected: -0.1870 eV per atom
# space-group type: P4/mmm
# E: -11.4 eV for the cell shown


Record 2
# In2HgPbCl4 | Alexandria via LeMat-Bulk | PBE | optimized geometry
data_In2HgPbCl4
_cell_length_a 13.816
_cell_length_b 4.375
_cell_length_c 9.177
_cell_angle_alpha 90.00
_cell_angle_beta 113.42
_cell_angle_gamma 90.00
_space_group_name_H-M_alt 'P 1'
_space_group_IT_number 1
_space_group_name_Hall 'P 1'
loop_
_atom_site_label
_atom_site_type_symbol
_atom_site_fract_x
_atom_site_fract_y
_atom_site_fract_z
In1 In 0.198 0.000 0.200
In2 In 0.302 0.500 0.800
In3 In 0.698 0.500 0.200
In4 In 0.802 0.000 0.800
Hg1 Hg 0.000 0.500 0.000
Hg2 Hg 0.500 0.000 0.000
Pb1 Pb 0.000 0.000 0.500
Pb2 Pb 0.500 0.500 0.500
Cl1 Cl 0.123 0.500 0.444
Cl2 Cl 0.160 0.000 0.823
Cl3 Cl 0.340 0.500 0.177
Cl4 Cl 0.377 0.000 0.556
Cl5 Cl 0.623 0.000 0.444
Cl6 Cl 0.660 0.500 0.823
Cl7 Cl 0.840 0.000 0.177
Cl8 Cl 0.877 0.500 0.556
# energy relative to the elements, uncorrected: -0.8379 eV per atom
# space-group type: C2/m
# E: -47.2 eV for the cell shown


Question: The lowest E belongs to which entry?
Answer: In2HgPbCl4


Repeat the second record exactly.
# In2HgPbCl4 | Alexandria via LeMat-Bulk | PBE | optimized geometry
data_In2HgPbCl4
_cell_length_a 13.816
_cell_length_b 4.375
_cell_length_c 9.177
_cell_angle_alpha 90.00
_cell_angle_beta 113.42
_cell_angle_gamma 90.00
_space_group_name_H-M_alt 'P 1'
_space_group_IT_number 1
_space_group_name_Hall 'P 1'
loop_
_atom_site_label
_atom_site_type_symbol
_atom_site_fract_x
_atom_site_fract_y
_atom_site_fract_z
In1 In 0.198 0.000 0.200
In2 In 0.302 0.500 0.800
In3 In 0.698 0.500 0.200
In4 In 0.802 0.000 0.800
Hg1 Hg 0.000 0.500 0.000
Hg2 Hg 0.500 0.000 0.000
Pb1 Pb 0.000 0.000 0.500
Pb2 Pb 0.500 0.500 0.500
Cl1 Cl 0.123 0.500 0.444
Cl2 Cl 0.160 0.000 0.823
Cl3 Cl 0.340 0.500 0.177
Cl4 Cl 0.377 0.000 0.556
Cl5 Cl 0.623 0.000 0.444
Cl6 Cl 0.660 0.500 0.823
Cl7 Cl 0.840 0.000 0.177
Cl8 Cl 0.877 0.500 0.556
# energy relative to the elements, uncorrected: -0.8379 eV per atom
# space-group type: C2/m
# E: -47.2 eV for the cell shown


Question: Which of these has the highest E?
Answer: InHgPbCl2